(1)
Material: KZnW2
Method: DFT, PBE-GGA
State: optimized geometry

a b c (Å): 3.869 3.869 5.239
angles (deg): 90.00 90.00 90.00
Space group P4/mmm (No. 123)
Unique sites:
K  0.000  0.000  0.000
Zn  0.500  0.500  0.000
W  0.000  0.500  0.500

Summary:
Mass density   10.00 g cm⁻³
Calculated formation energy   1.58 eV/atom
E   -5.49 eV per atom


(2)
Material: KZnW2
Method: DFT, PBE-GGA
State: optimized geometry

a b c (Å): 3.877 3.877 10.476
angles (deg): 90.00 90.00 90.00
Space group I4/mmm (No. 139)
Unique sites:
K  0.000  0.000  0.000
Zn  0.000  0.000  0.500
W  0.000  0.500  0.250

Summary:
Mass density   9.96 g cm⁻³
Calculated formation energy   1.59 eV/atom
E   -5.48 eV per atom